Here is a relaxed Cu2SbCl crystal from Alexandria. Energies are from PBE-GGA.

a b c (Å): 3.215 4.112 6.021
angles (deg): 90.00 90.00 90.00
Space group Pmmm (No. 47)
Symmetry-distinct sites (fractional):
1 Cu 0.000 0.000 0.000 (multiplicity 1)
2 Cu 0.000 0.500 0.500 (multiplicity 1)
3 Sb 0.500 0.000 0.500 (multiplicity 1)
4 Cl 0.500 0.500 0.000 (multiplicity 1)

Properties
- Crystal system: orthorhombic
- Uncorrected formation energy: 0.22 eV/atom
- Total magnetization: 0.00 μB/atom
- Distance to the lowest polymorph of the same formula: 31.1 kJ per mole of atoms


Here is a relaxed Cu2SbCl crystal from Alexandria. Energies are from PBE-GGA.

a b c (Å): 4.626 4.771 7.413
angles (deg): 90.00 90.00 90.00
Space group Cmm2 (No. 35)
Symmetry-distinct sites (fractional):
1 Cu 0.000 0.000 0.000 (multiplicity 2)
2 Cu 0.000 0.500 0.153 (multiplicity 2)
3 Sb 0.000 0.500 0.797 (multiplicity 2)
4 Cl 0.000 0.000 0.327 (multiplicity 2)

Properties
- Crystal system: orthorhombic
- Uncorrected formation energy: -0.11 eV/atom
- Total magnetization: 0.00 μB/atom
- Distance to the lowest polymorph of the same formula: 0.0 kJ per mole of atoms


Here is a relaxed Cu2SbCl crystal from Alexandria. Energies are from PBE-GGA.

a b c (Å): 8.048 3.559 6.419
angles (deg): 90.00 100.80 90.00
Space group Cm (No. 8)
Symmetry-distinct sites (fractional):
1 Cu 0.000 0.000 0.000 (multiplicity 2)
2 Cu 0.219 0.500 0.101 (multiplicity 2)
3 Sb 0.269 0.000 0.809 (multiplicity 2)
4 Cl 0.061 0.500 0.348 (multiplicity 2)

Properties
- Crystal system: monoclinic
- Uncorrected formation energy: -0.03 eV/atom
- Total magnetization: 0.00 μB/atom
- Distance to the lowest polymorph of the same formula: 6.9 kJ per mole of atoms


Here is a relaxed Cu2SbCl crystal from Alexandria. Energies are from PBE-GGA.

a b c (Å): 3.257 4.543 6.191
angles (deg): 85.09 75.79 69.05
Space group P-1 (No. 2)
Symmetry-distinct sites (fractional):
1 Cu 0.187 0.441 0.185 (multiplicity 2)
2 Sb 0.000 0.000 0.000 (multiplicity 1)
3 Cl 0.500 0.500 0.500 (multiplicity 1)

Properties
- Crystal system: triclinic
- Uncorrected formation energy: 0.00 eV/atom
- Total magnetization: 0.00 μB/atom
- Distance to the lowest polymorph of the same formula: 10.1 kJ per mole of atoms


Here is a relaxed CuSbCl2 crystal from Alexandria. Energies are from PBE-GGA.

a b c (Å): 5.126 3.325 5.606
angles (deg): 90.00 100.53 90.00
Space group Pm (No. 6)
Symmetry-distinct sites (fractional):
1 Cu 0.000 0.000 0.000 (multiplicity 1)
2 Sb 0.678 0.500 0.716 (multiplicity 1)
3 Cl 0.348 0.500 0.042 (multiplicity 1)
4 Cl 0.968 0.000 0.419 (multiplicity 1)

Properties
- Crystal system: monoclinic
- Uncorrected formation energy: -0.34 eV/atom
- Total magnetization: 0.00 μB/atom
- Distance to the lowest polymorph of the same formula: 6.7 kJ per mole of atoms


Here is a relaxed CuSbCl2 crystal from Alexandria. Energies are from PBE-GGA.

a b c (Å): 6.956 6.956 6.956
angles (deg): 90.00 90.00 90.00
Space group Fm-3m (No. 225)
Symmetry-distinct sites (fractional):
1 Cu 0.000 0.000 0.000 (multiplicity 4)
2 Sb 0.000 0.000 0.500 (multiplicity 4)
3 Cl 0.250 0.250 0.250 (multiplicity 8)

Properties
- Crystal system: cubic
- Uncorrected formation energy: 0.27 eV/atom
- Total magnetization: 0.00 μB/atom
- Distance to the lowest polymorph of the same formula: 65.9 kJ per mole of atoms


Here is a relaxed CuSbCl2 crystal from Alexandria. Energies are from PBE-GGA.

a b c (Å): 3.436 5.195 12.663
angles (deg): 90.00 90.00 90.00
Space group Imm2 (No. 44)
Symmetry-distinct sites (fractional):
1 Cu 0.000 0.000 0.000 (multiplicity 2)
2 Sb 0.000 0.500 0.654 (multiplicity 2)
3 Cl 0.000 0.000 0.604 (multiplicity 2)
4 Cl 0.000 0.500 0.382 (multiplicity 2)

Properties
- Crystal system: orthorhombic
- Uncorrected formation energy: -0.40 eV/atom
- Total magnetization: 0.00 μB/atom
- Distance to the lowest polymorph of the same formula: 1.6 kJ per mole of atoms


Here is a relaxed Cu2SbCl crystal from Alexandria. Energies are from PBE-GGA.

a b c (Å): 6.689 6.689 6.689
angles (deg): 90.00 90.00 90.00
Space group F-43m (No. 216)
Symmetry-distinct sites (fractional):
1 Cu 0.000 0.000 0.000 (multiplicity 4)
2 Cu 0.250 0.250 0.250 (multiplicity 4)
3 Sb 0.000 0.000 0.500 (multiplicity 4)
4 Cl 0.250 0.250 0.750 (multiplicity 4)

Properties
- Crystal system: cubic
- Uncorrected formation energy: 0.51 eV/atom
- Total magnetization: 0.00 μB/atom
- Distance to the lowest polymorph of the same formula: 59.0 kJ per mole of atoms


Here is a relaxed CuSbCl2 crystal from Alexandria. Energies are from PBE-GGA.

a b c (Å): 3.203 4.544 5.833
angles (deg): 90.00 90.00 90.00
Space group Pmmm (No. 47)
Symmetry-distinct sites (fractional):
1 Cu 0.000 0.000 0.000 (multiplicity 1)
2 Sb 0.500 0.000 0.500 (multiplicity 1)
3 Cl 0.000 0.500 0.500 (multiplicity 1)
4 Cl 0.500 0.500 0.000 (multiplicity 1)

Properties
- Crystal system: orthorhombic
- Uncorrected formation energy: 0.09 eV/atom
- Total magnetization: 0.00 μB/atom
- Distance to the lowest polymorph of the same formula: 48.3 kJ per mole of atoms


Here is a relaxed CuSbCl2 crystal from Alexandria. Energies are from PBE-GGA.

a b c (Å): 12.165 3.350 5.185
angles (deg): 90.00 103.60 90.00
Space group C2/m (No. 12)
Symmetry-distinct sites (fractional):
1 Cu 0.000 0.000 0.000 (multiplicity 2)
2 Sb 0.000 0.500 0.500 (multiplicity 2)
3 Cl 0.145 0.500 0.184 (multiplicity 4)

Properties
- Crystal system: monoclinic
- Uncorrected formation energy: -0.22 eV/atom
- Total magnetization: 0.00 μB/atom
- Distance to the lowest polymorph of the same formula: 18.6 kJ per mole of atoms


Here is a relaxed CuSbCl2 crystal from Alexandria. Energies are from PBE-GGA.

a b c (Å): 3.4612 3.4612 24.2133
angles (deg): 90.00 90.00 120.00
Space group R-3m (No. 166, hexagonal axes)
Symmetry-distinct sites (fractional):
1 Cu 0.0000 0.0000 0.0000 (multiplicity 3)
2 Sb 0.0000 0.0000 0.5000 (multiplicity 3)
3 Cl 0.0000 0.0000 0.2727 (multiplicity 6)

Properties
- Crystal system: trigonal
- Uncorrected formation energy: -0.19 eV/atom
- Total magnetization: 0.00 μB/atom
- Distance to the lowest polymorph of the same formula: 21.5 kJ per mole of atoms


Here is a relaxed Cu2Sb2Cl crystal from Alexandria. Energies are from PBE-GGA.

a b c (Å): 5.361 5.361 7.244
angles (deg): 90.00 90.00 90.00
Space group I4/mmm (No. 139)
Symmetry-distinct sites (fractional):
1 Cu 0.000 0.000 0.165 (multiplicity 4)
2 Sb 0.000 0.500 0.250 (multiplicity 4)
3 Cl 0.000 0.000 0.500 (multiplicity 2)

Properties
- Crystal system: tetragonal
- Uncorrected formation energy: 0.20 eV/atom
- Total magnetization: 0.00 μB/atom
- Distance to the lowest polymorph of the same formula: 5.7 kJ per mole of atoms


Please write out number 12 again, unchanged.
Here is a relaxed Cu2Sb2Cl crystal from Alexandria. Energies are from PBE-GGA.

a b c (Å): 5.361 5.361 7.244
angles (deg): 90.00 90.00 90.00
Space group I4/mmm (No. 139)
Symmetry-distinct sites (fractional):
1 Cu 0.000 0.000 0.165 (multiplicity 4)
2 Sb 0.000 0.500 0.250 (multiplicity 4)
3 Cl 0.000 0.000 0.500 (multiplicity 2)

Properties
- Crystal system: tetragonal
- Uncorrected formation energy: 0.20 eV/atom
- Total magnetization: 0.00 μB/atom
- Distance to the lowest polymorph of the same formula: 5.7 kJ per mole of atoms


Q: distance to the lowest polymorph of the same formula of number 4 (Cu2SbCl)?
A: 10.1 kJ per mole of atoms